Density functional theory data (PBE) for a geometry-optimized CeLuZn2 structure.

a = 5.036 Å, b = 5.036 Å, c = 5.036 Å
α = 60.00°, β = 60.00°, γ = 60.00°
Element x y z (fractional)
Ce 0.000 0.000 0.000
Lu 0.500 0.500 0.500
Zn 0.250 0.250 0.250
Zn 0.750 0.750 0.750

Its space-group type is Fm-3m. As for the formation energy: -0.266 eV/atom. The total energy is -3.5164 eV/atom. As for the crystal system: cubic. The calculation puts the size of the total moment at 0.38 μB per cell. The value obtained for the offset from the most stable computed form is 0.000 eV per atom.